# 1
## Dy5Os2O12 (PBE)

Data for a relaxed Dy5Os2O12 crystal.

For the formation energy from raw total energies, the calculation gives -2.720 eV per atom.

The structure belongs to space group C2/m (No. 12); the cell edges are 12.557, 5.658 and 7.501 Å and the angles 90.00°, 107.63° and 90.00°. The asymmetric unit holds Dy at (0.000, 0.000, 0.000), Dy at (0.188, 0.500, 0.329), Dy at (0.199, 0.500, 0.858), Os at (0.000, 0.219, 0.500), O at (0.001, 0.000, 0.297), O at (0.001, 0.500, 0.674), O at (0.153, 0.251, 0.073) and O at (0.166, 0.253, 0.586).

=====

# 2
## K4AgAu2 (PBE)

Data for a relaxed K4AgAu2 crystal.

For the energy of formation from the pure elements, the calculation gives -99 kJ/mol of formula units.

The structure belongs to space group Cmcm (No. 63); the cell edges are 5.750, 9.961 and 17.934 Å and the angles 90.00°, 90.00° and 90.00°. The asymmetric unit holds K at (0.000, 0.000, 0.000), K at (0.000, 0.333, 0.123), K at (0.000, 0.334, 0.750), Ag at (0.000, 0.001, 0.750) and Au at (0.000, 0.334, 0.563).

=====

# 3
## Tm3Si (PBE)

Data for a relaxed Tm3Si crystal.

For the formation energy from raw total energies, the calculation gives -0.153 eV per atom.

The structure belongs to space group I4/mmm (No. 139); the cell edges are 3.879, 3.879 and 15.725 Å and the angles 90.00°, 90.00° and 90.00°. The asymmetric unit holds Tm at (0.000, 0.000, 0.000), Tm at (0.000, 0.000, 0.323) and Si at (0.000, 0.000, 0.500).

=====

# 4
## Be4TlAu (PBE)

Data for a relaxed Be4TlAu crystal.

For the energy of formation from the pure elements, the calculation gives 195 kJ/mol of formula units.

The structure belongs to space group F-43m (No. 216); the cell edges are 6.742, 6.742 and 6.742 Å and the angles 90.00°, 90.00° and 90.00°. The asymmetric unit holds Be at (0.123, 0.123, 0.377), Tl at (0.000, 0.000, 0.000) and Au at (0.250, 0.250, 0.750).

=====

# 5
## Ni2S (PBE)

Data for a relaxed Ni2S crystal.

For the formation energy from raw total energies, the calculation gives -0.253 eV per atom.

The structure belongs to space group C2/c (No. 15); the cell edges are 6.995, 4.075 and 5.805 Å and the angles 90.00°, 111.63° and 90.00°. The asymmetric unit holds Ni at (0.195, 0.011, 0.099) and S at (0.000, 0.270, 0.750).

=====

# 6
## LaInH3 (PBE)

Data for a relaxed LaInH3 crystal.

The uncorrected energy comes out at -3.4644 eV/atom.

The structure belongs to space group Pm-3m (No. 221); the cell edges are 4.074, 4.074 and 4.074 Å and the angles 90.00°, 90.00° and 90.00°. The asymmetric unit holds La at (0.000, 0.000, 0.000), In at (0.500, 0.500, 0.500) and H at (0.000, 0.500, 0.500).

=====

# 7
## Tm4Ga3Ag (PBE)

Data for a relaxed Tm4Ga3Ag crystal.

For the energy of formation from the pure elements, the calculation gives -400 kJ/mol of formula units.

The structure belongs to space group P4/mmm (No. 123); the cell edges are 5.007, 5.007 and 7.105 Å and the angles 90.00°, 90.00° and 90.00°. The asymmetric unit holds Tm at (0.000, 0.500, 0.247), Ga at (0.000, 0.000, 0.000), Ga at (0.000, 0.000, 0.500), Ga at (0.500, 0.500, 0.000) and Ag at (0.500, 0.500, 0.500).

=====

# 8
## TeBrF (PBE)

Data for a relaxed TeBrF crystal.

For the formation energy from raw total energies, the calculation gives -0.757 eV per atom.

The structure belongs to space group P1 (No. 1); the cell edges are 3.454, 4.228 and 6.227 Å and the angles 103.58°, 105.82° and 90.07°. The asymmetric unit holds Te at (0.000, 0.000, 0.000), Br at (0.155, 0.626, 0.315) and F at (0.894, 0.305, 0.785).